Density functional theory data (PBEsol) for crystalline Cd2TcRh at its relaxed geometry.

- ΔH_f (0 K) (eV/f.u.) = 1.643
- E above lowest polymorph (eV per formula unit) = 0.22

a = 6.397 Å, b = 6.397 Å, c = 6.397 Å
α = 90.00°, β = 90.00°, γ = 90.00°
Space group Fm-3m (No. 225)
Symmetry-distinct sites (fractional):
Cd 0.250 0.250 0.250
Tc 0.000 0.000 0.000
Rh 0.000 0.000 0.500

***

Density functional theory data (PBEsol) for crystalline CdTc2Rh at its relaxed geometry.

- ΔH_f (0 K) (eV/f.u.) = 1.424

a = 3.715 Å, b = 3.715 Å, c = 4.314 Å
α = 90.00°, β = 90.00°, γ = 90.00°
Space group P4/mmm (No. 123)
Symmetry-distinct sites (fractional):
Cd 0.000 0.000 0.000
Tc 0.000 0.500 0.500
Rh 0.500 0.500 0.000

***

Density functional theory data (PBEsol) for crystalline CdTc2Rh at its relaxed geometry.

- ΔH_f (0 K) (eV/f.u.) = 0.743

a = 2.735 Å, b = 3.855 Å, c = 5.686 Å
α = 90.00°, β = 90.00°, γ = 90.00°
Space group Pmm2 (No. 25)
Symmetry-distinct sites (fractional):
Cd 0.000 0.000 0.000
Tc 0.000 0.000 0.505
Tc 0.500 0.500 0.709
Rh 0.500 0.500 0.257

***

Density functional theory data (PBEsol) for crystalline Cd2TcRh at its relaxed geometry.

- ΔH_f (0 K) (eV/f.u.) = 1.495
- E above lowest polymorph (eV per formula unit) = 0.07

a = 5.607 Å, b = 8.350 Å, c = 2.757 Å
α = 90.00°, β = 90.00°, γ = 90.00°
Space group Cmmm (No. 65)
Symmetry-distinct sites (fractional):
Cd 0.250 0.250 0.000
Tc 0.000 0.000 0.500
Rh 0.000 0.500 0.500

***

Density functional theory data (PBEsol) for crystalline CdTc2Rh at its relaxed geometry.

- ΔH_f (0 K) (eV/f.u.) = 1.430

a = 3.093 Å, b = 4.575 Å, c = 8.680 Å
α = 90.00°, β = 90.00°, γ = 90.00°
Space group Imm2 (No. 44)
Symmetry-distinct sites (fractional):
Cd 0.000 0.000 0.000
Tc 0.000 0.000 0.520
Tc 0.000 0.500 0.227
Rh 0.000 0.500 0.769

***

Density functional theory data (PBEsol) for crystalline Cd2TcRh at its relaxed geometry.

- ΔH_f (0 K) (eV/f.u.) = 1.427
- E above lowest polymorph (eV per formula unit) = 0.00

a = 5.496 Å, b = 9.288 Å, c = 2.755 Å
α = 90.00°, β = 113.26°, γ = 90.00°
Space group C2/m (No. 12)
Symmetry-distinct sites (fractional):
Cd 0.250 0.250 0.000
Tc 0.000 0.000 0.500
Rh 0.000 0.500 0.500

***

Density functional theory data (PBEsol) for crystalline CdTc2Rh at its relaxed geometry.

- ΔH_f (0 K) (eV/f.u.) = 0.341

a = 2.7559 Å, b = 2.7559 Å, c = 27.2006 Å
α = 90.00°, β = 90.00°, γ = 120.00°
Space group R3m (No. 160, hexagonal axes)
Symmetry-distinct sites (fractional):
Cd 0.0000 0.0000 0.0000
Tc 0.0000 0.0000 0.5005
Tc 0.0000 0.0000 0.7581
Rh 0.0000 0.0000 0.2462

***

Density functional theory data (PBEsol) for crystalline Cd3TeRh at its relaxed geometry.

- formation energy from raw total energies (eV/atom) = 1.30

a = 5.394 Å, b = 5.394 Å, c = 5.394 Å
α = 90.00°, β = 90.00°, γ = 90.00°
Space group Pm-3m (No. 221)
Symmetry-distinct sites (fractional):
Cd 0.000 0.000 0.500
Te 0.000 0.000 0.000
Rh 0.500 0.500 0.500

***

For reference, V by record: 16.36 14.88 14.99 16.13 15.35 16.15 14.91 31.39 Å³ per atom.